# CaAg3 GGA-PBE optimized geometry
# Electronic total energy (eV/cell): -22.6
# ΔH_f (0 K) (eV/atom): -0.19
# Mass density (g/cm3): 7.167
data_CaAg3
_chemical_formula_sum 'Ca2 Ag6'
_space_group_name_H-M_alt 'I 4/m m m'
_space_group_IT_number 139
_space_group_name_Hall '-I 4 2'
_cell_length_a 4.659
_cell_length_b 4.659
_cell_length_c 7.762
_cell_angle_alpha 90.00
_cell_angle_beta 90.00
_cell_angle_gamma 90.00
loop_
_atom_site_label
_atom_site_fract_x
_atom_site_fract_y
_atom_site_fract_z
Ca1 0.000 0.000 0.000
Ag1 0.000 0.000 0.500
Ag2 0.000 0.500 0.250

***

# CaAg GGA-PBE optimized geometry
# Electronic total energy (eV/cell): -21.1
# ΔH_f (0 K) (eV/atom): -0.22
# Mass density (g/cm3): 4.632
data_CaAg
_chemical_formula_sum 'Ca4 Ag4'
_space_group_name_H-M_alt 'P 21 3'
_space_group_IT_number 198
_space_group_name_Hall 'P 2ac 2ab 3'
_cell_length_a 5.964
_cell_length_b 5.964
_cell_length_c 5.964
_cell_angle_alpha 90.00
_cell_angle_beta 90.00
_cell_angle_gamma 90.00
loop_
_atom_site_label
_atom_site_fract_x
_atom_site_fract_y
_atom_site_fract_z
Ca1 0.083 0.083 0.083
Ag1 0.092 0.592 0.908

***

# Ca4Ag GGA-PBE optimized geometry
# Electronic total energy (eV/cell): -22.8
# ΔH_f (0 K) (eV/atom): -0.11
# Mass density (g/cm3): 2.453
data_Ca4Ag
_chemical_formula_sum 'Ca8 Ag2'
_space_group_name_H-M_alt 'P -1'
_space_group_IT_number 2
_space_group_name_Hall '-P 1'
_cell_length_a 6.444
_cell_length_b 7.403
_cell_length_c 8.974
_cell_angle_alpha 65.78
_cell_angle_beta 70.33
_cell_angle_gamma 89.77
loop_
_atom_site_label
_atom_site_fract_x
_atom_site_fract_y
_atom_site_fract_z
Ca1 0.074 0.405 0.342
Ca2 0.166 0.019 0.154
Ca3 0.334 0.674 0.848
Ca4 0.424 0.249 0.660
Ag1 0.252 0.000 0.500